This record from Alexandria via LeMat-Bulk describes crystalline PaNi2Bi at its relaxed geometry. The functional is PBE.

Total energy, eV for the cell shown: -25.79
Energy of formation, eV/atom: -0.213
N(E_F), states/eV/atom: 0.50
Polymorph energy (0 for the lowest one), eV/f.u.: 0.000

```
PaNi2Bi
1.0
4.710 0.000 0.000
2.355 4.079 0.000
2.355 1.360 3.846
Ni Pa Bi
2 1 1
Direct
0.250 0.250 0.250 Ni
0.750 0.750 0.750 Ni
0.500 0.500 0.500 Pa
0.000 0.000 0.000 Bi
```